# CaAg3Sb3

A relaxed CaAg3Sb3 crystal (GGA-PBE, Alexandria via LeMat-Bulk).

Cell: 7.618 7.618 7.618 Å, 90.00 90.00 90.00°
Sites, in units of the cell vectors:
1 Ca 0.000 0.000 0.000
2 Ca 0.500 0.500 0.500
3 Ag 0.000 0.250 0.500
4 Ag 0.000 0.750 0.500
5 Ag 0.250 0.500 0.000
6 Ag 0.500 0.000 0.250
7 Ag 0.500 0.000 0.750
8 Ag 0.750 0.500 0.000
9 Sb 0.000 0.500 0.250
10 Sb 0.000 0.500 0.750
11 Sb 0.250 0.000 0.500
12 Sb 0.500 0.250 0.000
13 Sb 0.500 0.750 0.000
14 Sb 0.750 0.000 0.500

Results
The calculation puts the density of states at the Fermi level at 10.3 states/eV/cell. The mass density comes out at 5.48 g/cm3. The value obtained for the energy is -21.92 eV/f.u. For the total magnetization, the calculation gives 0.0 μB per formula unit. As for the uncorrected formation energy: 1.003 eV per formula unit. Its crystal system is cubic.